--- A ---
YRuW2 | PBE | optimized geometry

Structure (CIF):
```
data_YRuW2
_cell_length_a 5.318
_cell_length_b 9.488
_cell_length_c 2.836
_cell_angle_alpha 90.00
_cell_angle_beta 90.00
_cell_angle_gamma 90.00
_symmetry_space_group_name_H-M 'C m m m'
_symmetry_Int_Tables_number 65
_symmetry_space_group_name_Hall '-C 2 2'
loop_
_atom_site_label
_atom_site_type_symbol
_atom_site_fract_x
_atom_site_fract_y
_atom_site_fract_z
_atom_site_occupancy
Y1 Y 0.000 0.000 0.000 1
Ru1 Ru 0.000 0.500 0.000 1
W1 W 0.250 0.250 0.500 1
```

D(E_F)	4.71	states/eV/f.u.
spin magnetization	0.00	μB/f.u.



--- B ---
YRuW2 | PBE | optimized geometry

Structure (CIF):
```
data_YRuW2
_cell_length_a 2.870
_cell_length_b 4.657
_cell_length_c 5.379
_cell_angle_alpha 90.00
_cell_angle_beta 90.00
_cell_angle_gamma 90.00
_symmetry_space_group_name_H-M 'P m m m'
_symmetry_Int_Tables_number 47
loop_
_symmetry_equiv_pos_as_xyz
'x,y,z'
'-x,-y,-z'
'-x,-y,z'
'x,y,-z'
'x,-y,-z'
'-x,y,z'
'-x,y,-z'
'x,-y,z'
loop_
_atom_site_label
_atom_site_type_symbol
_atom_site_fract_x
_atom_site_fract_y
_atom_site_fract_z
_atom_site_occupancy
Y1 Y 0.000 0.000 0.000 1
Ru1 Ru 0.000 0.000 0.500 1
W1 W 0.500 0.500 0.259 1
```

D(E_F)	3.55	states/eV/f.u.
spin magnetization	0.00	μB/f.u.



Most stable = A



--- A ---
TcNi2W | PBE | optimized geometry

Structure (CIF):
```
data_TcNi2W
_cell_length_a 2.6747
_cell_length_b 2.6747
_cell_length_c 25.9387
_cell_angle_alpha 90.00
_cell_angle_beta 90.00
_cell_angle_gamma 120.00
_symmetry_space_group_name_H-M 'R -3 m'
_symmetry_Int_Tables_number 166
_symmetry_space_group_name_Hall '-R 3 2"'
loop_
_atom_site_label
_atom_site_type_symbol
_atom_site_fract_x
_atom_site_fract_y
_atom_site_fract_z
_atom_site_occupancy
Tc1 Tc 0.0000 0.0000 0.0000 1
Ni1 Ni 0.0000 0.0000 0.2517 1
W1 W 0.0000 0.0000 0.5000 1
```

D(E_F)	6.60	states/eV/f.u.
spin magnetization	0.00	μB/f.u.



--- B ---
TcNi2W | PBE | optimized geometry

Structure (CIF):
```
data_TcNi2W
_cell_length_a 2.618
_cell_length_b 3.774
_cell_length_c 5.344
_cell_angle_alpha 90.00
_cell_angle_beta 90.00
_cell_angle_gamma 90.00
_symmetry_space_group_name_H-M 'P m m 2'
_symmetry_Int_Tables_number 25
loop_
_symmetry_equiv_pos_as_xyz
'x,y,z'
'-x,-y,z'
'-x,y,z'
'x,-y,z'
loop_
_atom_site_label
_atom_site_type_symbol
_atom_site_fract_x
_atom_site_fract_y
_atom_site_fract_z
_atom_site_occupancy
Tc1 Tc 0.000 0.000 0.000 1
Ni1 Ni 0.000 0.000 0.529 1
Ni2 Ni 0.500 0.500 0.757 1
W1 W 0.500 0.500 0.284 1
```

D(E_F)	3.11	states/eV/f.u.
spin magnetization	0.00	μB/f.u.



Most stable = B



--- A ---
TaFeAu2 | PBE | optimized geometry

Structure (CIF):
```
data_TaFeAu2
_cell_length_a 6.394
_cell_length_b 6.394
_cell_length_c 6.394
_cell_angle_alpha 90.00
_cell_angle_beta 90.00
_cell_angle_gamma 90.00
_symmetry_space_group_name_H-M 'F -4 3 m'
_symmetry_Int_Tables_number 216
_symmetry_space_group_name_Hall 'F -4 2 3'
loop_
_atom_site_label
_atom_site_type_symbol
_atom_site_fract_x
_atom_site_fract_y
_atom_site_fract_z
_atom_site_occupancy
Ta1 Ta 0.000 0.000 0.000 1
Fe1 Fe 0.250 0.250 0.250 1
Au1 Au 0.000 0.000 0.500 1
Au2 Au 0.250 0.250 0.750 1
```

D(E_F)	2.89	states/eV/f.u.
spin magnetization	1.82	μB/f.u.



--- B ---
TaFeAu2 | PBE | optimized geometry

Structure (CIF):
```
data_TaFeAu2
_cell_length_a 4.053
_cell_length_b 4.053
_cell_length_c 7.980
_cell_angle_alpha 90.00
_cell_angle_beta 90.00
_cell_angle_gamma 90.00
_symmetry_space_group_name_H-M 'I 4/m m m'
_symmetry_Int_Tables_number 139
_symmetry_space_group_name_Hall '-I 4 2'
loop_
_atom_site_label
_atom_site_type_symbol
_atom_site_fract_x
_atom_site_fract_y
_atom_site_fract_z
_atom_site_occupancy
Ta1 Ta 0.000 0.000 0.000 1
Fe1 Fe 0.000 0.000 0.500 1
Au1 Au 0.000 0.500 0.250 1
```

D(E_F)	3.92	states/eV/f.u.
spin magnetization	1.80	μB/f.u.



Most stable = B



--- A ---
PrSmTm2 | PBE | optimized geometry

Structure (CIF):
```
data_PrSmTm2
_cell_length_a 8.064
_cell_length_b 8.064
_cell_length_c 8.064
_cell_angle_alpha 90.00
_cell_angle_beta 90.00
_cell_angle_gamma 90.00
_symmetry_space_group_name_H-M 'F m -3 m'
_symmetry_Int_Tables_number 225
_symmetry_space_group_name_Hall '-F 4 2 3'
loop_
_atom_site_label
_atom_site_type_symbol
_atom_site_fract_x
_atom_site_fract_y
_atom_site_fract_z
_atom_site_occupancy
Pr1 Pr 0.000 0.000 0.000 1
Sm1 Sm 0.000 0.000 0.500 1
Tm1 Tm 0.250 0.250 0.250 1
```

D(E_F)	6.66	states/eV/f.u.
spin magnetization	0.00	μB/f.u.



--- B ---
PrSmTm2 | PBE | optimized geometry

Structure (CIF):
```
data_PrSmTm2
_cell_length_a 3.5962
_cell_length_b 3.5962
_cell_length_c 34.7914
_cell_angle_alpha 90.00
_cell_angle_beta 90.00
_cell_angle_gamma 120.00
_symmetry_space_group_name_H-M 'R 3 m'
_symmetry_Int_Tables_number 160
_symmetry_space_group_name_Hall 'R 3 -2"'
loop_
_atom_site_label
_atom_site_type_symbol
_atom_site_fract_x
_atom_site_fract_y
_atom_site_fract_z
_atom_site_occupancy
Pr1 Pr 0.0000 0.0000 0.0000 1
Sm1 Sm 0.0000 0.0000 0.1658 1
Tm1 Tm 0.0000 0.0000 0.5814 1
Tm2 Tm 0.0000 0.0000 0.7506 1
```

D(E_F)	5.64	states/eV/f.u.
spin magnetization	0.00	μB/f.u.



Most stable = B